Entry 1:
Density functional theory data (GGA-PBEsol) for Mn2CdOs after structural relaxation.

Geometry as CIF:
```
data_Mn2CdOs
_cell_length_a 6.080
_cell_length_b 6.080
_cell_length_c 6.080
_cell_angle_alpha 90.00
_cell_angle_beta 90.00
_cell_angle_gamma 90.00
_space_group_name_H-M_alt 'F -4 3 m'
_space_group_IT_number 216
_space_group_name_Hall 'F -4 2 3'
loop_
_atom_site_label
_atom_site_fract_x
_atom_site_fract_y
_atom_site_fract_z
Mn1 0.000 0.000 0.000
Mn2 0.250 0.250 0.250
Cd1 0.250 0.250 0.750
Os1 0.000 0.000 0.500
```

Summary:
Magnetic moment ... 1.095 μB per atom
Formation energy ... 235 kJ/mol of formula units
DFT total energy ... -7.625 eV/atom


Entry 2:
Density functional theory data (GGA-PBEsol) for Mn2CdOs2 after structural relaxation.

Geometry as CIF:
```
data_Mn2CdOs2
_cell_length_a 3.808
_cell_length_b 3.808
_cell_length_c 10.490
_cell_angle_alpha 90.00
_cell_angle_beta 90.00
_cell_angle_gamma 90.00
_space_group_name_H-M_alt 'I 4/m m m'
_space_group_IT_number 139
_space_group_name_Hall '-I 4 2'
loop_
_atom_site_label
_atom_site_fract_x
_atom_site_fract_y
_atom_site_fract_z
Mn1 0.000 0.500 0.250
Cd1 0.000 0.000 0.000
Os1 0.000 0.000 0.382
```

Summary:
Magnetic moment ... 0.000 μB per atom
Formation energy ... 254 kJ/mol of formula units
DFT total energy ... -8.504 eV/atom


> Which formula does entry 2 have?

Mn2CdOs2


> Which of these has the highest magnetic moment?

Mn2CdOs